1.
Density functional theory data (PBE-GGA) for Re2TeMo after structural relaxation.

Unit cell a=5.7585 b=5.7585 c=11.9675 alpha=90.00 beta=90.00 gamma=90.00
Space group I-42d (No. 122)
Unique sites:
Re  0.2265  0.2500  0.1250 [8 per cell]
Te  0.0000  0.0000  0.5000 [4 per cell]
Mo  0.0000  0.0000  0.0000 [4 per cell]

- formation energy without anion corrections (eV/atom) = 1.4309
- DFT total energy (eV/f.u.) = -33.15

2.
Density functional theory data (PBE-GGA) for ZrPRh after structural relaxation.

Unit cell a=4.1310 b=4.3384 c=10.5680 alpha=90.00 beta=90.00 gamma=90.00
Space group Fmm2 (No. 42)
Unique sites:
Zr  0.0000  0.0000  0.0000 [4 per cell]
P  0.0000  0.0000  0.6735 [4 per cell]
Rh  0.0000  0.0000  0.2937 [4 per cell]

- formation energy from the elements (meV per atom) = -679
- DFT total energy (eV/f.u.) = -23.35

3.
Density functional theory data (PBE-GGA) for ScAlW2 after structural relaxation.

Unit cell a=3.5349 b=4.2659 c=8.9426 alpha=90.00 beta=90.00 gamma=90.00
Space group Cmmm (No. 65)
Unique sites:
Sc  0.0000  0.0000  0.0000 [2 per cell]
Al  0.0000  0.0000  0.5000 [2 per cell]
W  0.0000  0.5000  0.2680 [4 per cell]

- formation energy from the elements (meV per atom) = 96
- DFT total energy (eV/f.u.) = -35.60

4.
Density functional theory data (PBE-GGA) for LiNi3Rh after structural relaxation.

Unit cell a=4.5697 b=4.5697 c=4.5697 alpha=90.00 beta=90.00 gamma=90.00
Space group Pm-3m (No. 221)
Unique sites:
Li  0.0000  0.0000  0.0000 [1 per cell]
Ni  0.0000  0.5000  0.5000 [3 per cell]
Rh  0.5000  0.5000  0.5000 [1 per cell]

- formation energy from the elements (meV per atom) = 950
- DFT total energy (eV/f.u.) = -21.86
- ΔE to the lowest computed polymorph (meV/atom) = 857

5.
Density functional theory data (PBE-GGA) for K2Ag2Sb after structural relaxation.

Unit cell a=10.1424 b=10.1424 c=3.0392 alpha=90.00 beta=90.00 gamma=90.00
Space group P4/mbm (No. 127)
Unique sites:
K  0.1924  0.3076  0.0000 [4 per cell]
Ag  0.0978  0.5978  0.5000 [4 per cell]
Sb  0.0000  0.0000  0.0000 [2 per cell]

- formation energy without anion corrections (eV/atom) = 0.1835
- DFT total energy (eV/f.u.) = -11.10
- ΔE to the lowest computed polymorph (meV/atom) = 316

6.
Density functional theory data (PBE-GGA) for PrTh2PaSb5 after structural relaxation.

Unit cell a=5.4751 b=5.4751 c=11.6772 alpha=90.00 beta=90.00 gamma=90.00
Space group P4/mmm (No. 123)
Unique sites:
Pr  0.0000  0.0000  0.0000 [1 per cell]
Th  0.5000  0.5000  0.1639 [2 per cell]
Pa  0.0000  0.0000  0.5000 [1 per cell]
Sb  0.0000  0.0000  0.2560 [2 per cell]
Sb  0.0000  0.5000  0.0000 [2 per cell]
Sb  0.5000  0.5000  0.5000 [1 per cell]

- formation energy without anion corrections (eV/atom) = 0.1478
- DFT total energy (eV/f.u.) = -48.40

7.
Density functional theory data (PBE-GGA) for Na2Mg3In2 after structural relaxation.

Unit cell a=11.2374 b=5.0427 c=7.2819 alpha=90.00 beta=112.41 gamma=90.00
Space group C2/m (No. 12)
Unique sites:
Na  0.1323  0.0000  0.4128 [4 per cell]
Mg  0.0000  0.5000  0.0000 [2 per cell]
Mg  0.1553  0.0000  0.9381 [4 per cell]
In  0.1096  0.5000  0.6919 [4 per cell]

- formation energy from the elements (meV per atom) = -35
- DFT total energy (eV/f.u.) = -13.15
- ΔE to the lowest computed polymorph (meV/atom) = 0

8.
Density functional theory data (PBE-GGA) for Pm8Pr3Ho2 after structural relaxation.

Unit cell a=20.4759 b=7.7669 c=5.8077 alpha=90.00 beta=90.02 gamma=90.00
Space group C2/m (No. 12)
Unique sites:
Pm  0.1086  0.2084  0.0001 [8 per cell]
Pm  0.1360  0.5000  0.4997 [4 per cell]
Pm  0.1747  0.0000  0.5006 [4 per cell]
Pr  0.0000  0.2105  0.5000 [4 per cell]
Pr  0.0000  0.5000  0.0000 [2 per cell]
Ho  0.2415  0.5000  0.9993 [4 per cell]

- formation energy from the elements (meV per atom) = 220
- DFT total energy (eV/f.u.) = -58.64
- ΔE to the lowest computed polymorph (meV/atom) = 67